A plane-wave DFT calculation with GGA-PBEsol was carried out for a geometry-optimized Ni7Pt5 structure.

## Properties
Energy above the lowest structure with this stoichiometry (eV/f.u.): 0.07
Space-group type: Pmmm, No. 47
E (eV/atom): -6.539
Energy of formation (kJ/mol of formula units): -53
M_tot (μB per cell): 6.49

extended XYZ file:
```
12
Lattice="3.668 0.000 0.000 0.000 5.226 0.000 0.000 0.000 7.821" Properties=species:S:1:pos:R:3 pbc="T T T"
Ni 0.000 0.000 0.000
Ni 0.000 2.613 2.549
Ni 0.000 2.613 5.271
Ni 1.834 1.313 1.248
Ni 1.834 1.313 6.573
Ni 1.834 3.914 1.248
Ni 1.834 3.914 6.573
Pt 0.000 0.000 2.465
Pt 0.000 0.000 5.356
Pt 0.000 2.613 0.000
Pt 1.834 1.338 3.910
Pt 1.834 3.888 3.910
```